Ti2WO6 (GGA+U, relaxed); E = -76.48 eV per formula unit; SG = P-31m
1.0
5.0408 0.0000 0.0000
-2.5204 4.3655 0.0000
0.0000 0.0000 4.5456
Ti W O
2 1 6
direct
0.3333 0.6667 0.0000
0.6667 0.3333 0.0000
0.0000 0.0000 0.5000
0.0000 0.3395 0.7670
0.0000 0.6605 0.2330
0.3395 0.0000 0.7670
0.3395 0.3395 0.2330
0.6605 0.0000 0.2330
0.6605 0.6605 0.7670